# 1
Below is a geometry-optimized Ho3ErGa2 structure, with properties calculated at the PBE-GGA level.

a b c (Å): 4.9164 9.4054 6.5409
angles (deg): 90.00 90.00 90.00
Space group Pmc2_1 (No. 26)
Asymmetric unit:
Ho 0.0000 0.0484 0.0000 [2 per cell]
Ho 0.0000 0.3209 0.3605 [2 per cell]
Ho 0.5000 0.1807 0.7083 [2 per cell]
Er 0.5000 0.4511 0.0688 [2 per cell]
Ga 0.0000 0.3598 0.8256 [2 per cell]
Ga 0.5000 0.1403 0.2435 [2 per cell]

Results
**Offset from the most stable computed form**: 0 meV per atom
**Total magnetization**: 0.00 μB/f.u.
**ρ**: 8.8 Mg/m³


# 2
Below is a geometry-optimized La2Dy2ErCd5 structure, with properties calculated at the PBE-GGA level.

a b c (Å): 10.7218 10.7218 4.7786
angles (deg): 90.00 90.00 90.00
Space group P4/mbm (No. 127)
Asymmetric unit:
La 0.1753 0.3247 0.0000 [4 per cell]
Dy 0.1239 0.6239 0.0000 [4 per cell]
Er 0.0000 0.0000 0.0000 [2 per cell]
Cd 0.0000 0.5000 0.5000 [2 per cell]
Cd 0.0662 0.8063 0.5000 [8 per cell]

Results
**Uncorrected energy**: -60.52 eV/cell
**Total magnetization**: 0.00 μB/f.u.
**ρ**: 8.1 Mg/m³


# 3
Below is a geometry-optimized CsTlInI4 structure, with properties calculated at the PBE-GGA level.

a b c (Å): 8.5221 18.8486 8.5585
angles (deg): 90.00 90.00 90.00
Space group Cmcm (No. 63)
Asymmetric unit:
Cs 0.0000 0.1104 0.2500 [4 per cell]
Tl 0.0000 0.3984 0.2500 [4 per cell]
In 0.0000 0.2493 0.7500 [4 per cell]
I 0.0000 0.0866 0.7500 [4 per cell]
I 0.0000 0.4261 0.7500 [4 per cell]
I 0.2500 0.2500 0.0000 [8 per cell]

Results
**Uncorrected formation energy**: -0.798 eV per atom
**Total magnetization**: 0.00 μB/f.u.
**ρ**: 4.6 Mg/m³


# 4
Below is a geometry-optimized Tb8C3Se4N structure, with properties calculated at the PBE-GGA level.

a b c (Å): 7.5298 7.5298 19.7803
angles (deg): 90.00 90.00 120.00
Space group R-3m (No. 166, hexagonal axes)
Asymmetric unit:
Tb 0.0000 0.0000 0.2353 [6 per cell]
Tb 0.0010 0.5005 0.7658 [18 per cell]
C 0.0000 0.5000 0.5000 [9 per cell]
Se 0.0000 0.0000 0.0000 [3 per cell]
Se 0.0000 0.5000 0.0000 [9 per cell]
N 0.0000 0.0000 0.5000 [3 per cell]

Results
**Uncorrected formation energy**: -1.306 eV per atom
**Total magnetization**: 0.00 μB/f.u.
**ρ**: 8.4 Mg/m³


# 5
Below is a geometry-optimized InTcW4 structure, with properties calculated at the PBE-GGA level.

a b c (Å): 7.4784 7.4784 7.4784
angles (deg): 90.00 90.00 90.00
Space group F-43m (No. 216)
Asymmetric unit:
In 0.0000 0.0000 0.0000 [4 per cell]
Tc 0.2500 0.2500 0.7500 [4 per cell]
W 0.1259 0.1259 0.3741 [16 per cell]

Results
**Uncorrected energy**: -247.09 eV/cell
**Total magnetization**: 0.00 μB/f.u.
**ρ**: 15.1 Mg/m³


# 6
Below is a geometry-optimized CaMgTlAu structure, with properties calculated at the PBE-GGA level.

a b c (Å): 7.1961 7.1961 7.1961
angles (deg): 90.00 90.00 90.00
Space group F-43m (No. 216)
Asymmetric unit:
Ca 0.0000 0.0000 0.0000 [4 per cell]
Mg 0.0000 0.0000 0.5000 [4 per cell]
Tl 0.2500 0.2500 0.2500 [4 per cell]
Au 0.2500 0.2500 0.7500 [4 per cell]

Results
**Uncorrected energy**: -43.99 eV/cell
**Total magnetization**: 0.00 μB/f.u.
**ρ**: 8.3 Mg/m³


# 7
Below is a geometry-optimized La2YCo structure, with properties calculated at the PBE-GGA level.

a b c (Å): 8.5537 8.5537 6.3542
angles (deg): 90.00 90.00 90.00
Space group I-42d (No. 122)
Asymmetric unit:
La 0.1661 0.2500 0.1250 [8 per cell]
Y 0.0000 0.0000 0.5000 [4 per cell]
Co 0.0000 0.0000 0.0000 [4 per cell]

Results
**Offset from the most stable computed form**: 210 meV per atom
**Total magnetization**: 0.00 μB/f.u.
**ρ**: 6.1 Mg/m³


# 8
Below is a geometry-optimized Cs2BaTeAs structure, with properties calculated at the PBE-GGA level.

a b c (Å): 8.2504 8.2504 6.3045
angles (deg): 90.00 90.00 90.00
Space group P4/mmm (No. 123)
Asymmetric unit:
Cs 0.0000 0.5000 0.0000 [2 per cell]
Ba 0.0000 0.0000 0.0000 [1 per cell]
Te 0.0000 0.0000 0.5000 [1 per cell]
As 0.5000 0.5000 0.5000 [1 per cell]

Results
**Uncorrected formation energy**: 0.160 eV per atom
**Total magnetization**: 2.38 μB/f.u.
**ρ**: 2.3 Mg/m³